Entry 1:
A relaxed CaTl2Fe crystal. Source: the Alexandria database, functional PBE.

Summary:
The value obtained for the formation energy is 0.97 eV per formula unit.

Lattice parameters (Å, degrees): 4.6591 4.6591 4.4163 90.00 90.00 90.00
Space group P4/mmm (No. 123)
Inequivalent atoms, fractional coordinates:
1 Ca 0.0000 0.0000 0.0000 [1 per cell]
2 Tl 0.0000 0.5000 0.5000 [2 per cell]
3 Fe 0.5000 0.5000 0.0000 [1 per cell]

=====

Entry 2:
A relaxed Ag2PdAuBr6 crystal. Source: the Alexandria database, functional PBE.

Summary:
The value obtained for the raw formation energy is -218 kJ/mol of formula units.

Lattice parameters (Å, degrees): 6.4735 7.2797 7.6482 75.83 66.33 64.16
Space group P1 (No. 1)
Inequivalent atoms, fractional coordinates:
1 Ag 0.0000 0.0000 0.0000 [1 per cell]
2 Ag 0.1935 0.4446 0.5051 [1 per cell]
3 Pd 0.4965 0.2363 0.9687 [1 per cell]
4 Au 0.4906 0.7434 0.4689 [1 per cell]
5 Br 0.0651 0.7911 0.6967 [1 per cell]
6 Br 0.2805 0.0449 0.2384 [1 per cell]
7 Br 0.3703 0.1286 0.7553 [1 per cell]
8 Br 0.6170 0.3452 0.1834 [1 per cell]
9 Br 0.7032 0.4349 0.6981 [1 per cell]
10 Br 0.9279 0.6768 0.2556 [1 per cell]

=====

Number 1: magnetic moment 2.77 μB per formula unit. Number 2: magnetic moment 0.49 μB per formula unit.